Record 1
DFT (GGA-PBE) results for an optimized crystal structure of BaGaBO3F2.

Calculated values
- mass density (g/cm³) = 4.83
- V (A^3/atom) = 13.06
- formation energy from raw total energies (kJ/mol of atoms) = -270
- total magnetic moment (μB per formula unit) = 0.00
- uncorrected energy (eV per atom) = -6.576

Unit cell a=4.9455 b=4.9455 c=9.8639 alpha=90.00 beta=90.00 gamma=120.00
Space group P6_3/m (No. 176)
Unique sites:
Ba (0.0000, 0.0000, 0.0000)
Ga (0.3333, 0.6667, 0.2500)
B (0.3333, 0.6667, 0.7500)
O (0.0656, 0.3765, 0.7500)
F (0.3333, 0.6667, 0.0478)

Record 2
DFT (GGA-PBE) results for an optimized crystal structure of Pr6Zn5Sn.

Calculated values
- mass density (g/cm³) = 6.76
- ΔH_f (0 K) (eV per atom) = -0.366
- V (A^3/atom) = 26.44
- total magnetic moment (μB per formula unit) = 0.00
- uncorrected energy (eV per atom) = -3.620

Unit cell a=5.295 b=7.507 c=8.403 alpha=90.00 beta=108.20 gamma=90.00
Space group P2/m (No. 10)
Unique sites:
Pr (0.000, 0.243, 0.000)
Pr (0.329, 0.244, 0.661)
Zn (0.167, 0.000, 0.331)
Zn (0.174, 0.500, 0.343)
Zn (0.500, 0.000, 0.000)
Sn (0.500, 0.500, 0.000)

Record 3
DFT (GGA-PBE) results for an optimized crystal structure of KAl2Pt.

Calculated values
- mass density (g/cm³) = 5.98
- ΔH_f (0 K) (eV per atom) = 0.256
- V (A^3/atom) = 19.99
- total magnetic moment (μB per formula unit) = 0.00
- uncorrected energy (eV per atom) = -3.400

Unit cell a=5.978 b=10.316 c=2.784 alpha=90.00 beta=111.38 gamma=90.00
Space group C2/m (No. 12)
Unique sites:
K (0.000, 0.000, 0.000)
Al (0.250, 0.250, 0.500)
Pt (0.000, 0.500, 0.000)